Computed, not measured: a relaxed structure of Li2MnSiO4 at the PBE+U level of DFT.

Summary:
**Density of states at the Fermi level**: 0.0 states/eV/cell
**Electronic total energy**: -220.71 eV per cell
**Total magnetic moment**: 20.00 Bohr magnetons per cell

abc: 7.4494 7.8404 6.3371
angles: 90.00 90.00 90.00
Closest atoms and distances in Å follow each position.
Space group C222_1 (No. 20)
Asymmetric unit:
Li  0.0000  0.1894  0.2500 [4 per cell]  4 O 1.93-2.07
Li  0.1770  0.5000  0.5000 [4 per cell]  4 O 2.03-2.07
Mn  0.0000  0.1792  0.7500 [4 per cell]  4 O 2.04-2.10
Si  0.1747  0.5000  0.0000 [4 per cell]  4 O 1.66
O  0.0386  0.3333  0.0062 [8 per cell]  1 Si 1.66
O  0.1991  0.0076  0.2851 [8 per cell]  1 Si 1.66